1.
The following is a DFT calculation (PBE) of an optimized crystal structure of Li2MgTl.

Results
DFT formation energy: -0.720 eV per formula unit
theoretical density: 5.02 g cm⁻³
electronic total energy: -0.078 hartree per atom

Cell lengths 5.2927, 5.2927, 4.7188 Å; angles 64.38, 64.38, 43.28 degrees
Atoms (fractional coordinates):
Tl 0.7407 0.7407 0.7620
Mg 0.5041 0.5041 0.4950
Li 0.9968 0.9968 0.0013
Li 0.2584 0.2584 0.2417


2.
The following is a DFT calculation (PBE) of an optimized crystal structure of NiIrRh5.

Results
DFT formation energy: 1.254 eV per formula unit
theoretical density: 12.67 g cm⁻³
electronic total energy: -0.263 hartree per atom

Cell lengths 4.6915, 4.7751, 9.5420 Å; angles 97.72, 105.64, 97.81 degrees
Atoms (fractional coordinates):
Ni 0.0000 0.0000 0.0000
Ni 0.0000 0.0000 0.5000
Ir 0.6437 0.5629 0.2855
Ir 0.3563 0.4371 0.7145
Rh 0.0726 0.5765 0.1480
Rh 0.7837 0.4701 0.5663
Rh 0.5774 0.9659 0.6437
Rh 0.8624 0.0841 0.2342
Rh 0.5441 0.2551 0.9916
Rh 0.4559 0.7448 0.0084
Rh 0.1376 0.9159 0.7658
Rh 0.4226 0.0341 0.3563
Rh 0.2163 0.5299 0.4337
Rh 0.9274 0.4235 0.8520


3.
The following is a DFT calculation (PBE) of an optimized crystal structure of DyCd12Au6.

Results
DFT formation energy: -2.444 eV per formula unit
theoretical density: 10.42 g cm⁻³
electronic total energy: -0.073 hartree per atom

Cell lengths 7.9437, 7.9437, 7.9437 Å; angles 105.93, 105.93, 105.93 degrees
Atoms (fractional coordinates):
Dy 0.0000 0.0000 0.0000
Cd 0.8864 0.1136 0.5000
Cd 0.8681 0.6227 0.6227
Cd 0.6227 0.6227 0.8681
Cd 0.3773 0.1319 0.3773
Cd 0.3773 0.3773 0.1319
Cd 0.1319 0.3773 0.3773
Cd 0.1136 0.5000 0.8864
Cd 0.5000 0.8864 0.1136
Cd 0.1136 0.8864 0.5000
Cd 0.8864 0.5000 0.1136
Cd 0.5000 0.1136 0.8864
Cd 0.6227 0.8681 0.6227
Au 0.7067 0.2905 0.2905
Au 0.2905 0.2905 0.7067
Au 0.2905 0.7067 0.2905
Au 0.7095 0.7095 0.2933
Au 0.2933 0.7095 0.7095
Au 0.7095 0.2933 0.7095


4.
The following is a DFT calculation (PBE) of an optimized crystal structure of DyTm8Sc3.

Results
DFT formation energy: 8.454 eV per formula unit
theoretical density: 6.65 g cm⁻³
electronic total energy: -0.156 hartree per atom

Cell lengths 7.4318, 7.4318, 9.1165 Å; angles 114.05, 114.05, 90.00 degrees
Atoms (fractional coordinates):
Dy 0.0000 0.0000 0.0000
Tm 0.8736 0.3811 0.2547
Tm 0.3811 0.3811 0.2547
Tm 0.1264 0.1264 0.7453
Tm 0.6189 0.1264 0.7453
Tm 0.3811 0.8736 0.2547
Tm 0.8736 0.8736 0.2547
Tm 0.6189 0.6189 0.7453
Tm 0.1264 0.6189 0.7453
Sc 0.2500 0.7500 0.5000
Sc 0.5000 0.5000 0.0000
Sc 0.7500 0.2500 0.5000


5.
The following is a DFT calculation (PBE) of an optimized crystal structure of DyHo2PaSb4.

Results
theoretical density: 8.51 g cm⁻³
formation energy from raw total energies: -731.7 kJ/mol of formula units
electronic total energy: -0.217 hartree per atom

Cell lengths 4.3700, 7.5710, 7.5662 Å; angles 109.38, 90.00, 90.00 degrees
Site moments in Bohr magnetons follow the coordinates.
Atoms (fractional coordinates):
Dy 0.5000 0.5000 0.0000  0.01
Ho 0.5000 0.0000 0.5000  0.00
Ho 0.0000 0.5000 0.5000  0.01
Pa 0.0000 0.0000 0.0000  0.76
Sb 0.5000 0.2509 0.2517  -0.01
Sb 0.5000 0.7491 0.7483  -0.01
Sb 0.0000 0.2489 0.7495  -0.01
Sb 0.0000 0.7511 0.2505  -0.01


6.
The following is a DFT calculation (PBE) of an optimized crystal structure of LiSn2I4.

Results
theoretical density: 4.80 g cm⁻³
formation energy from raw total energies: -255.2 kJ/mol of formula units
electronic total energy: -0.099 hartree per atom

Cell lengths 5.7250, 5.7250, 8.9103 Å; angles 71.26, 71.26, 90.00 degrees
Site moments in Bohr magnetons follow the coordinates.
Atoms (fractional coordinates):
I 0.1923 0.1923 0.6155  0.00
I 0.8077 0.8077 0.3846  0.00
I 0.0000 0.5000 0.0000  0.00
I 0.5000 0.0000 0.0000  0.00
Sn 0.3765 0.3765 0.2469  0.06
Sn 0.6235 0.6235 0.7531  0.06
Li 0.0000 0.0000 0.0000  0.00


7.
The following is a DFT calculation (PBE) of an optimized crystal structure of Li2In5Ag12.

Results
DFT formation energy: 1.407 eV per formula unit
theoretical density: 7.52 g cm⁻³
electronic total energy: -0.097 hartree per atom

Cell lengths 5.6389, 8.4742, 9.7515 Å; angles 107.91, 90.00, 109.43 degrees
Atoms (fractional coordinates):
Li 0.7487 0.0000 0.0000
Li 0.2513 0.0000 0.0000
In 0.3158 0.6316 0.6394
In 0.3618 0.7236 0.1380
In 0.0000 0.0000 0.5000
In 0.6382 0.2764 0.8620
In 0.6842 0.3684 0.3606
Ag 0.1107 0.2214 0.3033
Ag 0.0483 0.6108 0.8842
Ag 0.5625 0.6108 0.8842
Ag 0.0970 0.6860 0.3912
Ag 0.5890 0.6860 0.3912
Ag 0.4860 0.9719 0.6368
Ag 0.5140 0.0281 0.3632
Ag 0.9030 0.3140 0.6088
Ag 0.4110 0.3140 0.6088
Ag 0.9517 0.3892 0.1158
Ag 0.4375 0.3892 0.1158
Ag 0.8893 0.7786 0.6967


8.
The following is a DFT calculation (PBE) of an optimized crystal structure of Gd2MgSb.

Results
relative energy among the computed polymorphs: 45 meV per atom
theoretical density: 7.12 g cm⁻³
formation energy from raw total energies: -213.8 kJ/mol of formula units
electronic total energy: -0.332 hartree per atom

Cell lengths 4.3808, 4.9518, 4.9518 Å; angles 90.00, 90.00, 90.00 degrees
Site moments in Bohr magnetons follow the coordinates.
Atoms (fractional coordinates):
Sb 0.5000 0.0000 0.0000  -0.06
Mg 0.5000 0.5000 0.5000  0.00
Gd 0.0000 0.0000 0.5000  7.28
Gd 0.0000 0.5000 0.0000  7.28


9.
The following is a DFT calculation (PBE) of an optimized crystal structure of PuGa4Pd2Ru.

Results
DFT formation energy: -3.759 eV per formula unit
theoretical density: 10.02 g cm⁻³
electronic total energy: -0.229 hartree per atom

Cell lengths 4.2725, 4.2725, 9.1142 Å; angles 76.44, 76.44, 60.00 degrees
Site moments in Bohr magnetons follow the coordinates.
Atoms (fractional coordinates):
Pu 0.0000 0.0000 0.0000  5.28
Ga 0.3996 0.3996 0.8011  0.01
Ga 0.8669 0.8669 0.3993  -0.01
Ga 0.1331 0.1331 0.6007  -0.01
Ga 0.6004 0.6004 0.1989  0.01
Pd 0.7638 0.7638 0.7086  0.00
Pd 0.2362 0.2362 0.2914  0.00
Ru 0.5000 0.5000 0.5000  0.06


10.
The following is a DFT calculation (PBE) of an optimized crystal structure of CuSi2.

Results
theoretical density: 4.38 g cm⁻³
formation energy from raw total energies: 70.5 kJ/mol of formula units
electronic total energy: -0.174 hartree per atom

Cell lengths 3.5077, 3.5077, 3.6870 Å; angles 90.00, 90.00, 90.00 degrees
Atoms (fractional coordinates):
Cu 0.0000 0.0000 0.0000
Si 0.0000 0.5000 0.5000
Si 0.5000 0.0000 0.5000


11.
The following is a DFT calculation (PBE) of an optimized crystal structure of Ac2La5Nd6.

Results
DFT formation energy: 1.086 eV per formula unit
theoretical density: 6.82 g cm⁻³
electronic total energy: -0.171 hartree per atom

Cell lengths 3.7436, 12.2914, 21.3058 Å; angles 90.00, 90.00, 90.00 degrees
Atoms (fractional coordinates):
Ac 0.0000 0.3271 0.2791
Ac 0.0000 0.6729 0.7209
Ac 0.0000 0.8271 0.2209
Ac 0.0000 0.1729 0.7791
La 0.5000 0.2962 0.4454
La 0.5000 0.7038 0.5546
La 0.5000 0.7962 0.0546
La 0.5000 0.2038 0.9454
La 0.5000 0.5852 0.2838
La 0.5000 0.4148 0.7162
La 0.5000 0.0852 0.2162
La 0.5000 0.9148 0.7838
La 0.5000 0.5000 0.0000
La 0.5000 0.0000 0.5000
Nd 0.0000 0.0699 0.3621
Nd 0.0000 0.9301 0.6379
Nd 0.0000 0.5699 0.1379
Nd 0.0000 0.4301 0.8621
Nd 0.5000 0.3138 0.1227
Nd 0.5000 0.6862 0.8773
Nd 0.5000 0.8138 0.3773
Nd 0.5000 0.1862 0.6227
Nd 0.0000 0.5597 0.4258
Nd 0.0000 0.4403 0.5742
Nd 0.0000 0.0597 0.0742
Nd 0.0000 0.9403 0.9258


12.
The following is a DFT calculation (PBE) of an optimized crystal structure of CsYIn2Pb.

Results
DFT formation energy: 5.595 eV per formula unit
theoretical density: 4.93 g cm⁻³
electronic total energy: -0.080 hartree per atom

Cell lengths 5.9754, 6.2177, 5.9754 Å; angles 90.00, 90.00, 90.00 degrees
Atoms (fractional coordinates):
Pb 0.0000 0.5000 0.0000
Cs 0.0000 0.0000 0.0000
Y 0.5000 0.5000 0.5000
In 0.0000 0.0000 0.5000
In 0.5000 0.0000 0.0000


Volume across the listed records, respectively: 20.1; 14.3; 22.6; 34.3; 29.5; 37.2; 21.9; 26.9; 17.3; 15.1; 37.7; 44.4 Å³ per atom.